1) A plane-wave DFT calculation with GGA-PBE was carried out for a relaxed TlIn3W crystal.

Output
- DOS(E_F): 3.24 states/eV/f.u.

Cell: 5.3497 5.3497 5.3497 Å, 90.00 90.00 90.00°
Space group Pm-3m (No. 221)
One atom of each set of equivalent atoms:
Tl (0.0000, 0.0000, 0.0000)
In (0.0000, 0.5000, 0.5000)
W (0.5000, 0.5000, 0.5000)

2) A plane-wave DFT calculation with GGA-PBE was carried out for a relaxed TlIn3W crystal.

Output
- DOS(E_F): 3.33 states/eV/f.u.

Cell: 5.6027 5.6027 5.6027 Å, 90.00 90.00 90.00°
Space group Pm-3m (No. 221)
One atom of each set of equivalent atoms:
Tl (0.0000, 0.0000, 0.0000)
In (0.0000, 0.0000, 0.5000)
W (0.5000, 0.5000, 0.5000)

Which structure is the least stable? The one labeled 2).

1) A plane-wave DFT calculation with GGA-PBE was carried out for a relaxed Tl3InW crystal.

Output
- DOS(E_F): 2.86 states/eV/f.u.

Cell: 5.6753 5.6753 5.6753 Å, 90.00 90.00 90.00°
Space group Pm-3m (No. 221)
One atom of each set of equivalent atoms:
Tl (0.0000, 0.0000, 0.5000)
In (0.0000, 0.0000, 0.0000)
W (0.5000, 0.5000, 0.5000)

2) A plane-wave DFT calculation with GGA-PBE was carried out for a relaxed Tl3InW crystal.

Output
- DOS(E_F): 2.94 states/eV/f.u.

Cell: 5.4254 5.4254 5.4254 Å, 90.00 90.00 90.00°
Space group Pm-3m (No. 221)
One atom of each set of equivalent atoms:
Tl (0.0000, 0.0000, 0.5000)
In (0.5000, 0.5000, 0.5000)
W (0.0000, 0.0000, 0.0000)

Which structure is the least stable? The one labeled 1).

1) A plane-wave DFT calculation with GGA-PBE was carried out for a relaxed YTlIn crystal.

Output
- DOS(E_F): 3.52 states/eV/f.u.

Cell: 10.5932 11.7799 13.2403 Å, 90.00 90.00 90.00°
Space group Fddd (No. 70, origin choice 2)
One atom of each set of equivalent atoms:
Y (0.0368, 0.3750, 0.3750)
Tl (0.0000, 0.0000, 0.5000)
In (0.1250, 0.1250, 0.3223)

2) A plane-wave DFT calculation with GGA-PBE was carried out for a relaxed YTlIn crystal.

Output
- DOS(E_F): 2.25 states/eV/f.u.

Cell: 4.8101 5.4696 12.4723 Å, 90.00 90.00 90.00°
Space group Fmm2 (No. 42)
One atom of each set of equivalent atoms:
Y (0.0000, 0.0000, 0.0000)
Tl (0.0000, 0.0000, 0.6740)
In (0.0000, 0.0000, 0.3324)

3) A plane-wave DFT calculation with GGA-PBE was carried out for a relaxed YTlIn crystal.

Output
- DOS(E_F): 2.77 states/eV/f.u.

Cell: 5.1323 8.7667 7.0810 Å, 90.00 90.00 90.00°
Space group Cmcm (No. 63)
One atom of each set of equivalent atoms:
Y (0.0000, 0.0000, 0.0000)
Tl (0.0000, 0.3326, 0.2500)
In (0.0000, 0.3327, 0.7500)

Which structure is the least stable? The one labeled 1).